(1)
{"formula": "Tb2HoHg8", "functional": "PBE-GGA", "state": "relaxed", "lattice": [[7.9913, -2.4743, 0.0000], [7.9913, 2.4743, 0.0000], [-2.4036, 0.0000, 6.8190]], "species": ["Tb", "Tb", "Ho", "Hg", "Hg", "Hg", "Hg", "Hg", "Hg", "Hg", "Hg"], "frac_coords": [[0.2142, 0.2142, 0.1561], [0.7858, 0.7858, 0.8439], [0.5000, 0.5000, 0.5000], [0.0272, 0.0272, 0.2302], [0.1501, 0.1501, 0.6793], [0.3295, 0.3295, 0.6010], [0.4033, 0.4033, 0.0479], [0.5967, 0.5967, 0.9521], [0.6705, 0.6705, 0.3990], [0.8499, 0.8499, 0.3207], [0.9728, 0.9728, 0.7698]]}

=====

(2)
{"formula": "PrSnPt3Au", "functional": "PBE-GGA", "state": "relaxed", "lattice": [[2.8199, -8.8809, 0.0000], [2.8199, 8.8809, 0.0000], [0.0000, 0.0000, 5.7418]], "species": ["Pr", "Pr", "Sn", "Sn", "Pt", "Pt", "Pt", "Pt", "Pt", "Pt", "Au", "Au"], "frac_coords": [[0.1956, 0.8044, 0.7500], [0.8044, 0.1956, 0.2500], [0.0907, 0.9093, 0.2500], [0.9093, 0.0907, 0.7500], [0.2375, 0.7625, 0.2500], [0.2660, 0.2660, 0.0000], [0.2660, 0.2660, 0.5000], [0.7340, 0.7340, 0.0000], [0.7340, 0.7340, 0.5000], [0.7625, 0.2375, 0.7500], [0.3851, 0.6149, 0.2500], [0.6149, 0.3851, 0.7500]]}

=====

In the order shown, the computed E values come out to -1.7939 -5.4778 eV per atom.
In the order shown, the computed total magnetization values come out to 0.000 0.000 μB/atom.